First-principles (PBE) data for TbEr4Tm2 after structural relaxation, as listed in the Alexandria database.

a = 5.9621 Å, b = 8.3119 Å, c = 9.7293 Å
α = 84.88°, β = 72.42°, γ = 69.06°
Space group P1 (No. 1)
One atom of each set of equivalent atoms:
Tb 0.0000 0.0000 0.0000
Tb 0.2811 0.1441 0.2897
Er 0.3478 0.7157 0.4275
Er 0.3844 0.2177 0.9255
Er 0.4232 0.2864 0.5696
Er 0.5611 0.8580 0.7199
Er 0.6038 0.7842 0.0703
Er 0.7400 0.3602 0.2198
Er 0.7726 0.4291 0.8626
Er 0.8096 0.9263 0.3640
Tm 0.1651 0.6425 0.7896
Tm 0.1816 0.5722 0.1449
Tm 0.8818 0.5021 0.5002
Tm 0.9807 0.0722 0.6449

Values from the calculation:
The energy of formation from the pure elements comes out at 0.6 eV/f.u. The offset from the most stable computed form is 0.0724 eV/atom. As for the density of states at the Fermi level: 22.17 states/eV/cell.